[1]
{"formula": "ScAl2Tl", "functional": "SCAN", "state": "PBEsol geometry", "lattice_angstrom": [[3.1838, 0.0000, 0.0000], [1.5919, 2.7573, 0.0000], [1.5919, 0.9191, 9.6222]], "species": ["Sc", "Tl", "Al", "Al"], "fractional_positions": [[0.5000, 0.5000, 0.5000], [0.0000, 0.0000, 0.0000], [0.2465, 0.2465, 0.2606], [0.7535, 0.7535, 0.7394]], "formation_energy_ev_per_atom": 0.03, "crystal_system": "trigonal", "dft_energy_ev_per_atom": -25.49}

***

[2]
{"formula": "Sc4AlTl", "functional": "SCAN", "state": "PBEsol geometry", "lattice_angstrom": [[5.7279, 0.0000, 0.0000], [2.8640, 4.9605, 0.0000], [2.8640, 1.6535, 4.6768]], "species": ["Sc", "Sc", "Sc", "Al", "Sc", "Tl"], "fractional_positions": [[0.3743, 0.3743, 0.8770], [0.8770, 0.3743, 0.3743], [0.3743, 0.8770, 0.3743], [0.0000, 0.0000, 0.0000], [0.3743, 0.3743, 0.3743], [0.7500, 0.7500, 0.7500]], "formation_energy_ev_per_atom": 0.19, "crystal_system": "cubic", "dft_energy_ev_per_atom": -22.66}